# 1
Sb3W20O60 after structural relaxation. Source: the Alexandria database, functional PBE with a Hubbard U.

Computed properties:
As for the total energy: -612.4 eV/cell. Its volume is 1215 Å³ per cell.

Structure (POSCAR):
```
Sb3W20O60
1.0
-8.9463 -3.3070 -5.0740
6.0349 -2.1936 -8.6883
3.0259 -6.9152 10.4121
O Sb W
60 3 20
Cartesian
-3.8229 -8.6169 -1.9133
0.7926 -7.8236 0.8750
-5.2683 -8.3965 0.3569
-0.5492 -5.4542 -3.9567
2.9369 -6.5051 1.9536
2.2136 -7.8523 -1.4667
1.4461 -8.3638 3.4173
-2.8311 -5.9274 -5.3454
4.4595 -4.6884 0.5266
-1.5164 -8.1295 -0.5668
3.7011 -8.0577 -3.7285
-2.9079 -8.1260 1.7679
-0.6843 -10.4574 -6.0581
-1.3358 -8.8100 -8.2511
1.6436 -4.2777 -2.7515
-0.0825 -8.3149 -2.9035
-0.7607 -7.7133 -5.5293
-0.6214 -2.8842 -3.4644
-2.9550 -2.1886 -4.6768
2.5625 -3.5566 -6.8169
0.5323 -9.9525 -0.8595
-3.7484 -3.4867 0.0914
2.4118 -2.8946 0.6141
5.1730 -7.9154 2.6613
-2.0774 -5.5989 -10.3358
0.8955 -5.6504 -6.2444
3.1809 -2.3854 -4.2251
3.8280 -2.9236 -1.7364
-2.3087 -9.5428 -4.0184
-1.4101 -5.9755 -7.6860
4.4998 -1.6453 -6.5050
-1.4397 -3.1809 1.5433
0.3061 -1.0633 0.9413
-4.2634 -5.6975 -2.9870
0.0633 -3.3483 -0.7693
5.9723 -7.5611 -2.3549
0.1273 -6.1055 -1.3533
1.3787 -5.6108 3.9863
-4.8505 -4.1075 -5.0285
-4.3829 -2.9476 -2.4003
0.7854 -1.9106 -5.5792
-3.0311 -5.2451 2.3338
-1.1979 -3.7995 -6.1359
-5.8571 -4.8382 -0.9640
0.9150 -2.7444 2.9473
-2.2399 -8.4663 4.4497
1.5428 -9.2566 -4.9476
5.3941 -4.0019 -3.6784
0.7049 -5.0242 1.3742
3.1938 -5.1432 -4.7860
-3.1201 -10.2648 0.2571
-0.7898 -6.7820 2.8527
-3.6015 -6.3227 -0.3622
-6.6814 -2.4764 -3.8075
1.9793 -7.1825 5.9917
-2.0970 -4.5557 -1.8490
4.2973 -9.7135 -1.5323
0.0125 -10.9669 -3.3266
3.8892 -5.7660 -2.1694
4.4969 -7.5756 -0.0186
-1.7139 -3.2382 -8.1019
-5.4093 -3.8990 -8.2675
1.5560 -3.3814 -9.9479
3.5237 -4.1886 -3.1999
-3.4030 -8.2168 -0.1246
-1.6994 -7.1552 -9.2483
-4.8630 -2.3837 -4.3625
1.7933 -5.1677 5.8412
-0.2192 -4.4906 -2.2920
4.8191 -6.3092 1.4802
2.6346 -1.8265 -6.1713
2.7954 -5.5632 -6.6782
0.3459 -8.0342 -1.0414
1.0534 -6.5403 2.3514
-0.3787 -9.4087 -4.4682
-0.9528 -5.9019 -5.7677
0.4860 -3.0207 1.0840
4.0870 -7.6602 -1.9316
-2.5573 -4.8316 -12.0886
-2.6886 -6.8672 3.2914
-3.9676 -4.7454 -1.3927
-4.7123 -6.1212 -4.8669
-1.0653 -2.0128 -5.0359
```

---

# 2
SbW2O2 after structural relaxation. Source: the Alexandria database, functional PBE with a Hubbard U.

Computed properties:
As for the total energy: -25.7 eV/cell. Its volume is 84 Å³ per cell.

Structure (POSCAR):
```
SbW2O2
1.0
-3.9258 0.2714 -1.0776
1.0435 -0.4606 -3.9174
-0.4717 -4.9913 0.4612
O Sb W
2 1 2
Cartesian
0.0000 0.0000 0.0000
-0.2358 -2.4957 0.2306
-1.6770 -2.5902 -2.2669
-1.9629 0.1357 -0.5388
0.5217 -0.2303 -1.9587
```

---

# 3
SbW5O15 after structural relaxation. Source: the Alexandria database, functional PBE with a Hubbard U.

Computed properties:
As for the total energy: -307.8 eV/cell. Its volume is 605 Å³ per cell.

Structure (POSCAR):
```
SbW5O15
1.0
-9.5941 4.6074 3.1599
5.0625 -3.4053 -9.2755
-3.0055 -6.8608 0.8784
O W Sb
30 10 2
Cartesian
-4.7246 -4.0838 0.2681
-6.9880 -3.4834 -2.7864
-5.4873 0.8457 -0.6227
1.6643 -3.3049 -6.7377
-2.0498 -6.5043 -4.6145
-5.5091 -0.1013 -3.2227
-9.2013 -2.3537 1.5005
-0.5491 -2.1752 -2.4508
-6.3689 -5.6440 -1.2451
-4.7971 2.3037 1.5799
-3.2408 -0.7030 -0.1616
-4.2962 -4.9556 -5.0756
-2.0071 -3.8013 -4.1148
2.5313 -1.7026 -4.6378
-2.0280 -5.5574 -2.0145
-2.8124 -1.5748 -5.5053
3.9538 -2.8148 -8.3379
-7.4273 -3.3236 -0.0047
-3.1761 -1.4730 -2.7910
-7.4446 1.9158 1.0380
-5.5299 -1.8573 -1.1224
-4.3610 -4.1856 -2.4462
2.9646 -8.1904 -8.6616
1.7920 -5.8783 -7.3382
-0.1098 -2.3351 -5.2325
-1.1682 -0.0146 -3.9922
-10.5017 2.5318 3.4244
-0.0925 -7.5744 -6.2752
-11.4909 -2.8438 3.1007
-9.3291 0.2196 2.1010
-5.8315 -3.8073 -1.2822
-1.7056 -1.8514 -3.9550
-10.5223 -1.2428 2.6977
1.4868 -7.8179 -7.4933
-4.3462 -0.3980 -1.7127
-5.9730 2.5060 0.0636
2.9853 -4.4158 -7.9350
-3.1909 -5.2606 -3.5245
-9.0238 2.1593 2.2561
-1.5641 -8.1646 -5.3008
-7.6381 -1.2952 0.5503
0.1011 -4.3635 -5.7875
```